## Rb3HfCl (GGA-PBE)

Data for crystalline Rb3HfCl at its relaxed geometry. Values from VASP.

The structure in Quantum ESPRESSO input format:
```
&SYSTEM
  ibrav = 0, nat = 5, ntyp = 3
/
ATOMIC_SPECIES
Rb 85.47 Rb.upf
Hf 178.49 Hf.upf
Cl 35.45 Cl.upf
CELL_PARAMETERS angstrom
6.3843 0.0000 0.0000
0.0000 6.3843 0.0000
0.0000 0.0000 6.3843
ATOMIC_POSITIONS crystal
Rb 0.0000 0.0000 0.5000
Rb 0.0000 0.5000 0.0000
Rb 0.5000 0.0000 0.0000
Hf 0.5000 0.5000 0.5000
Cl 0.0000 0.0000 0.0000
```

Values from the calculation:
ΔE to the lowest computed polymorph   0 meV/atom